DFT (PBE with a Hubbard U) results for a relaxed BaWF2 crystal.

POSCAR file:
```
BaWF2
1.0
-3.7825 3.7825 4.0677
3.7825 -3.7825 4.0677
3.7825 3.7825 -4.0677
Ba W F
2 2 4
Cartesian
0.0000 0.0000 0.0000
0.0000 3.7825 2.0339
3.7825 0.0000 2.0339
0.0000 0.0000 4.0677
5.6737 1.3284 -1.0169
1.3284 1.8912 1.0169
-1.8912 2.4541 3.0508
2.4541 1.8912 5.0847
```

Results
Space group: I-42d, No. 122
Distance to the lowest polymorph of the same formula, eV/atom: 0.0000
Calculated total energy, eV/atom: -4.6390
D(E_F), states/eV/f.u.: 0.00
Calculated volume, Å³ per atom: 29.1